The following is a DFT calculation (PBE) of crystalline Ca3CdHg3 at its relaxed geometry.

Results
calculated formation energy	-36.7	kJ/mol of atoms
calculated density	6894	kg/m³
E above lowest polymorph	0.0	meV/atom
energy	-1.50	eV per atom
symmetry	C2/m (12)
DOS at the Fermi energy	0.675	states/eV per atom

Unit cell a=7.4053 b=7.4053 c=7.3308 alpha=90.52 beta=90.52 gamma=89.28
Atoms (fractional coordinates):
Ca: 0.0411 0.4450 0.7515
Ca: 0.0713 0.0713 0.2495
Ca: 0.4450 0.0411 0.7515
Ca: 0.5550 0.9589 0.2485
Ca: 0.9287 0.9287 0.7505
Ca: 0.9589 0.5550 0.2485
Cd: 0.3618 0.3618 0.0602
Cd: 0.6382 0.6382 0.9398
Hg: 0.2463 0.7537 0.0000
Hg: 0.2481 0.7519 0.5000
Hg: 0.3430 0.3430 0.4584
Hg: 0.6570 0.6570 0.5416
Hg: 0.7519 0.2481 0.5000
Hg: 0.7537 0.2463 0.0000